First-principles (PBE) data for SrBeHg after structural relaxation, as listed in Alexandria via LeMat-Bulk.

Calculated values
Energy relative to the lowest polymorph listed for this composition   0.285 eV/atom
ΔH_f (0 K)   0.24 eV/atom

Unit cell a=6.8325 b=6.8325 c=6.8325 alpha=90.00 beta=90.00 gamma=90.00
Sites, in units of the cell vectors:
Sr: 0.0000 0.0000 0.0000
Sr: 0.0000 0.5000 0.5000
Sr: 0.5000 0.0000 0.5000
Sr: 0.5000 0.5000 0.0000
Be: 0.2500 0.2500 0.2500
Be: 0.2500 0.7500 0.7500
Be: 0.7500 0.2500 0.7500
Be: 0.7500 0.7500 0.2500
Hg: 0.0000 0.0000 0.5000
Hg: 0.0000 0.5000 0.0000
Hg: 0.5000 0.0000 0.0000
Hg: 0.5000 0.5000 0.5000